Arrangement A

# Dy3TmIr3 (PBE-GGA, optimized geometry)
data_Dy3TmIr3
_chemical_formula_sum 'Dy9 Tm3 Ir9'
_cell_length_a 9.6095
_cell_length_b 9.6095
_cell_length_c 5.9261
_cell_angle_alpha 90.00
_cell_angle_beta 90.00
_cell_angle_gamma 120.00
_space_group_name_H-M_alt 'R -3 m'
_space_group_IT_number 166
_space_group_name_Hall '-R 3 2"'
loop_
_atom_site_label
_atom_site_type_symbol
_atom_site_fract_x
_atom_site_fract_y
_atom_site_fract_z
Dy1 Dy 0.0000 0.5000 0.0000
Tm1 Tm 0.0000 0.0000 0.0000
Ir1 Ir 0.0000 0.5000 0.5000
# V, A^3/atom: 22.568



Arrangement B

# Dy3TmIr3 (PBE-GGA, optimized geometry)
data_Dy3TmIr3
_chemical_formula_sum 'Dy12 Tm4 Ir12'
_cell_length_a 9.9243
_cell_length_b 9.7815
_cell_length_c 6.5732
_cell_angle_alpha 90.00
_cell_angle_beta 90.04
_cell_angle_gamma 90.00
_space_group_name_H-M_alt 'C 1 2/m 1'
_space_group_IT_number 12
loop_
_space_group_symop_operation_xyz
'x,y,z'
'-x,-y,-z'
'-x,y,-z'
'x,-y,z'
'x+1/2,y+1/2,z'
'-x+1/2,-y+1/2,-z'
'-x+1/2,y+1/2,-z'
'x+1/2,-y+1/2,z'
loop_
_atom_site_label
_atom_site_type_symbol
_atom_site_fract_x
_atom_site_fract_y
_atom_site_fract_z
Dy1 Dy 0.0000 0.2458 0.0000
Dy2 Dy 0.0000 0.2514 0.5000
Dy3 Dy 0.2452 0.0000 0.0004
Tm1 Tm 0.2381 0.0000 0.5004
Ir1 Ir 0.0000 0.0000 0.2503
Ir2 Ir 0.2500 0.2500 0.2524
# V, A^3/atom: 22.789



We find arrangement A to be the most stable, with the next structure 18 meV per atom higher.



Arrangement A

# DyTm3Ir2 (PBE-GGA, optimized geometry)
data_DyTm3Ir2
_chemical_formula_sum 'Dy2 Tm6 Ir4'
_cell_length_a 4.5405
_cell_length_b 8.7048
_cell_length_c 7.1873
_cell_angle_alpha 90.00
_cell_angle_beta 90.00
_cell_angle_gamma 90.00
_space_group_name_H-M_alt 'P m c 21'
_space_group_IT_number 26
loop_
_space_group_symop_operation_xyz
'x,y,z'
'-x,-y,z+1/2'
'-x,y,z'
'x,-y,z+1/2'
loop_
_atom_site_label
_atom_site_type_symbol
_atom_site_fract_x
_atom_site_fract_y
_atom_site_fract_z
Dy1 Dy 0.0000 0.0864 0.0000
Tm1 Tm 0.0000 0.3295 0.6316
Tm2 Tm 0.5000 0.1734 0.3479
Tm3 Tm 0.5000 0.4131 0.9789
Ir1 Ir 0.0000 0.3467 0.2343
Ir2 Ir 0.5000 0.1555 0.7440
# V, A^3/atom: 23.673



Arrangement B

# DyTm3Ir2 (PBE-GGA, optimized geometry)
data_DyTm3Ir2
_chemical_formula_sum 'Dy4 Tm12 Ir8'
_cell_length_a 6.6907
_cell_length_b 13.4856
_cell_length_c 6.9603
_cell_angle_alpha 90.00
_cell_angle_beta 90.00
_cell_angle_gamma 90.00
_space_group_name_H-M_alt 'I b a m'
_space_group_IT_number 72
_space_group_name_Hall '-I 2 2c'
loop_
_atom_site_label
_atom_site_type_symbol
_atom_site_fract_x
_atom_site_fract_y
_atom_site_fract_z
Dy1 Dy 0.0000 0.0000 0.0000
Tm1 Tm 0.0000 0.2349 0.2500
Tm2 Tm 0.0000 0.5000 0.2500
Ir1 Ir 0.2120 0.3614 0.0000
# V, A^3/atom: 26.167



We find arrangement A to be the most stable, with the next structure 94 meV per atom higher.